BiPtS2 (PBE-GGA, relaxed); ΔE_f (raw) = 0.27 eV/f.u.; energy = -4.477 eV/atom; symmetry = No. 166
1.0
2.0997 1.2123 7.3208
-2.0997 1.2123 7.3208
0.0000 -2.4246 7.3208
Bi Pt S
1 1 2
Direct
0.0000 0.0000 0.0000
0.5000 0.5000 0.5000
0.3995 0.3995 0.3995
0.6005 0.6005 0.6005

BiPtS (PBE-GGA, relaxed); ΔE_f (raw) = -0.62 eV/f.u.; energy = -4.891 eV/atom; symmetry = No. 14
1.0
5.6840 0.0000 0.0000
0.0000 6.6719 0.0000
-2.8905 0.0000 7.3477
Bi Pt S
4 4 4
Direct
0.1914 0.2121 0.4666
0.1914 0.2879 0.9666
0.8086 0.7121 0.0334
0.8086 0.7879 0.5334
0.2022 0.7074 0.8811
0.2022 0.7926 0.3811
0.7978 0.2074 0.6189
0.7978 0.2926 0.1189
0.3382 0.6091 0.6479
0.3382 0.8909 0.1479
0.6618 0.1091 0.8521
0.6618 0.3909 0.3521

BiPtS2 (PBE-GGA, relaxed); ΔE_f (raw) = 0.06 eV/f.u.; energy = -4.530 eV/atom; symmetry = No. 122
1.0
-2.9086 2.9086 6.0631
2.9086 -2.9086 6.0631
2.9086 2.9086 -6.0631
Bi Pt S
2 2 4
Direct
0.0000 0.0000 0.0000
0.7500 0.2500 0.5000
0.2500 0.7500 0.5000
0.5000 0.5000 0.0000
0.1876 0.6250 0.0626
0.3750 0.4376 0.5626
0.5624 0.1250 0.9374
0.8750 0.8124 0.4374

BiPt3S (PBE-GGA, relaxed); ΔE_f (raw) = 7.45 eV/f.u.; offset from the most stable computed form = 1285.3 meV/atom; energy = -3.737 eV/atom; symmetry = No. 221
1.0
5.0926 0.0000 0.0000
0.0000 5.0926 0.0000
0.0000 0.0000 5.0926
Bi Pt S
1 3 1
Direct
0.0000 0.0000 0.0000
0.0000 0.0000 0.5000
0.0000 0.5000 0.0000
0.5000 0.0000 0.0000
0.5000 0.5000 0.5000

Sn2Bi2PtS2 (PBE-GGA, relaxed); ΔE_f (raw) = -1.90 eV/f.u.; energy = -4.566 eV/atom; symmetry = No. 2
1.0
3.9134 0.0000 0.0000
1.9213 6.3111 0.0000
1.9164 0.9651 7.5740
Sn Bi Pt S
2 2 1 2
Direct
0.2408 0.3539 0.1683
0.7592 0.6461 0.8317
0.0504 0.1424 0.7536
0.9496 0.8576 0.2464
0.5000 0.0000 0.0000
0.3190 0.7498 0.6063
0.6810 0.2502 0.3937

BiSbPt3 (PBE-GGA, relaxed); ΔE_f (raw) = 2.38 eV/f.u.; offset from the most stable computed form = 0.0 meV/atom; energy = -4.750 eV/atom; symmetry = No. 221
1.0
4.9711 0.0000 0.0000
0.0000 4.9711 0.0000
0.0000 0.0000 4.9711
Bi Sb Pt
1 1 3
Direct
0.0000 0.0000 0.0000
0.5000 0.5000 0.5000
0.0000 0.5000 0.5000
0.5000 0.0000 0.5000
0.5000 0.5000 0.0000